A relaxed structure of CeLuTc4. Source: Alexandria via LeMat-Bulk, functional PBE.

```
CeLuTc4
1.0
0.0000 3.8169 3.8169
3.8169 0.0000 3.8169
3.8169 3.8169 0.0000
Ce Lu Tc
1 1 4
Direct
0.0000 0.0000 0.0000
0.2500 0.2500 0.2500
0.1258 0.6247 0.6247
0.6247 0.1258 0.6247
0.6247 0.6247 0.1258
0.6247 0.6247 0.6247
```

Values from the calculation:
Total magnetic moment: 0.002 μB per formula unit
Total energy: -52.5 eV per cell
Theoretical density: 10.557 g/cm³
E_form: -0.100 eV/atom

---

A relaxed structure of ThPaOs. Source: Alexandria via LeMat-Bulk, functional PBE.

```
ThPaOs
1.0
3.7967 0.0000 0.0000
0.0000 21.2702 0.0000
0.0000 0.0000 3.8985
Th Pa Os
4 4 4
Direct
0.0000 0.1957 0.2500
0.0000 0.8043 0.7500
0.5000 0.3043 0.7500
0.5000 0.6957 0.2500
0.0000 0.4272 0.2500
0.0000 0.5728 0.7500
0.5000 0.0728 0.7500
0.5000 0.9272 0.2500
0.0000 0.0536 0.2500
0.0000 0.9464 0.7500
0.5000 0.4464 0.7500
0.5000 0.5536 0.2500
```

Values from the calculation:
Total magnetic moment: 0.000 μB per formula unit
Total energy: -114.8 eV per cell
Theoretical density: 13.783 g/cm³
E_form: -0.186 eV/atom

---

A relaxed structure of Tl2SeS. Source: Alexandria via LeMat-Bulk, functional PBE.

```
Tl2SeS
1.0
4.1142 0.0000 0.0000
-2.0571 3.5630 0.0000
0.0000 0.0000 22.2576
Tl Se S
6 3 3
Direct
0.0000 0.0000 0.0000
0.0000 0.0000 0.1746
0.3333 0.6667 0.6667
0.3333 0.6667 0.8412
0.6667 0.3333 0.3333
0.6667 0.3333 0.5079
0.0000 0.0000 0.7671
0.3333 0.6667 0.4338
0.6667 0.3333 0.1004
0.0000 0.0000 0.5758
0.3333 0.6667 0.2425
0.6667 0.3333 0.9091
```

Values from the calculation:
Total magnetic moment: 0.000 μB per formula unit
Energy relative to the elements, uncorrected: -0.218 eV per atom
Total energy: -39.7 eV per cell
Theoretical density: 7.936 g/cm³

---

A relaxed structure of BaAl2Br. Source: Alexandria via LeMat-Bulk, functional PBE.

```
BaAl2Br
1.0
6.1879 0.0000 0.0000
0.0000 6.3303 0.0000
0.0000 0.0000 13.0350
Ba Al Br
4 8 4
Direct
0.0000 0.0000 0.0000
0.0000 0.5000 0.5000
0.5000 0.0000 0.5000
0.5000 0.5000 0.0000
0.0000 0.2500 0.2500
0.0000 0.2500 0.7500
0.0000 0.7500 0.2500
0.0000 0.7500 0.7500
0.5000 0.2500 0.2500
0.5000 0.2500 0.7500
0.5000 0.7500 0.2500
0.5000 0.7500 0.7500
0.0000 0.0000 0.5000
0.0000 0.5000 0.0000
0.5000 0.0000 0.0000
0.5000 0.5000 0.5000
```

Values from the calculation:
Total magnetic moment: 0.000 μB per formula unit
Energy relative to the elements, uncorrected: -0.314 eV per atom
Total energy: -49.3 eV per cell
Theoretical density: 3.528 g/cm³

---

A relaxed structure of Ac5Zn2Sb. Source: Alexandria via LeMat-Bulk, functional PBE.

```
Ac5Zn2Sb
1.0
-4.4782 4.4782 6.9556
4.4782 -4.4782 6.9556
4.4782 4.4782 -6.9556
Ac Zn Sb
10 4 2
Direct
0.0000 0.0000 0.0000
0.0114 0.5114 0.8116
0.1998 0.0114 0.5000
0.3002 0.8002 0.8116
0.4886 0.3002 0.5000
0.5000 0.5000 0.0000
0.5114 0.6998 0.5000
0.6998 0.1998 0.1884
0.8002 0.9886 0.5000
0.9886 0.4886 0.1884
0.1382 0.3618 0.5000
0.3618 0.8618 0.2236
0.6382 0.1382 0.7764
0.8618 0.6382 0.5000
0.2500 0.2500 0.0000
0.7500 0.7500 0.0000
```

Values from the calculation:
Total magnetic moment: 0.000 μB per formula unit
Energy relative to the elements, uncorrected: -0.394 eV per atom
Total energy: -60.7 eV per cell
Theoretical density: 8.259 g/cm³

---

A relaxed structure of TeIOF2. Source: Alexandria via LeMat-Bulk, functional PBE.

```
TeIOF2
1.0
4.6686 0.0000 0.0000
0.0000 4.6686 0.0000
0.0000 0.0000 4.1390
Te I O F
1 1 1 2
Direct
0.0000 0.0000 0.0000
0.5000 0.5000 0.5000
0.0000 0.0000 0.5000
0.0000 0.5000 0.0000
0.5000 0.0000 0.0000
```

Values from the calculation:
Total magnetic moment: 1.080 μB per formula unit
Energy relative to the elements, uncorrected: -0.739 eV per atom
Total energy: -17.1 eV per cell
Theoretical density: 5.679 g/cm³

---

A relaxed structure of LaSnPt2. Source: Alexandria via LeMat-Bulk, functional PBE.

```
LaSnPt2
1.0
5.5875 0.0000 0.0000
0.0000 5.6028 0.0000
0.0000 0.0000 13.1143
La Sn Pt
4 4 8
Direct
0.2500 0.0000 0.0700
0.2500 0.5000 0.4048
0.7500 0.0000 0.9300
0.7500 0.5000 0.5952
0.2500 0.0000 0.8102
0.2500 0.5000 0.8239
0.7500 0.0000 0.1898
0.7500 0.5000 0.1761
0.0000 0.0000 0.5000
0.0000 0.5000 0.0000
0.2500 0.2580 0.6381
0.2500 0.7420 0.6381
0.5000 0.0000 0.5000
0.5000 0.5000 0.0000
0.7500 0.2580 0.3619
0.7500 0.7420 0.3619
```

Values from the calculation:
Total magnetic moment: 0.000 μB per formula unit
Total energy: -93.7 eV per cell
Theoretical density: 10.480 g/cm³
E_form: -0.602 eV/atom

---

A relaxed structure of RbSrSmBr6. Source: Alexandria via LeMat-Bulk, functional PBE.

```
RbSrSmBr6
1.0
7.8088 0.0000 0.0000
-3.9044 6.7626 0.0000
0.0000 0.0000 14.6586
Rb Sr Sm Br
2 2 2 12
Direct
0.0000 0.0000 0.0000
0.0000 0.0000 0.5000
0.3333 0.6667 0.2500
0.6667 0.3333 0.7500
0.3333 0.6667 0.7500
0.6667 0.3333 0.2500
0.0186 0.3810 0.6366
0.0186 0.6376 0.8634
0.3624 0.3810 0.8634
0.3624 0.9814 0.6366
0.3810 0.0186 0.1366
0.3810 0.3624 0.3634
0.6190 0.6376 0.6366
0.6190 0.9814 0.8634
0.6376 0.0186 0.3634
0.6376 0.6190 0.1366
0.9814 0.3624 0.1366
0.9814 0.6190 0.3634
```

Values from the calculation:
Total magnetic moment: 0.000 μB per formula unit
Energy relative to the elements, uncorrected: -1.957 eV per atom
Total energy: -70.0 eV per cell
Theoretical density: 3.445 g/cm³

---

- Which formula does entry 2 have?
  ThPaOs

---

- What is the formula in the seventh record?
  LaSnPt2

---

- Look up the total magnetic moment of the sixth one.
  1.080 μB per formula unit